No. 1
The following is a PBE calculation of crystalline Mg3W5 at its relaxed geometry, from the Alexandria database.

Cell and atoms, written as extended XYZ:
```
16
Lattice="2.5968 -7.4112 0.0000 2.5968 7.4112 0.0000 -2.2885 0.0000 7.1958" Properties=species:S:1:pos:R:3 pbc="T T T"
Mg 2.5968 4.7952 0.0000
Mg 1.4525 3.4008 3.5979
Mg 0.6966 0.0000 4.6785
Mg 2.2084 0.0000 2.5173
Mg 1.4525 -3.4008 3.5979
Mg 2.5968 -4.7952 0.0000
W 0.7065 6.0354 4.7462
W 2.1986 6.0354 2.4496
W -1.0001 0.0000 7.0787
W 0.2963 2.3332 5.9333
W 2.6088 2.3332 1.2625
W 0.2963 -2.3332 5.9333
W 2.6088 -2.3332 1.2625
W 3.9052 0.0000 0.1171
W 0.7065 -6.0354 4.7462
W 2.1986 -6.0354 2.4496
```

Summary:
Calculated volume   277.0 Å³/cell
Energy above the most stable polymorph in this dataset   184 meV per atom
Total DFT energy (no corrections)   -129.12 eV/cell
M_tot   0.0 μB/f.u.

---

No. 2
The following is a PBE calculation of crystalline Mg2W at its relaxed geometry, from the Alexandria database.

Cell and atoms, written as extended XYZ:
```
3
Lattice="5.1749 0.0000 0.0000 0.0000 5.1749 0.0000 0.0000 0.0000 2.6436" Properties=species:S:1:pos:R:3 pbc="T T T"
Mg 0.0000 2.5874 0.0000
Mg 2.5874 0.0000 0.0000
W 0.0000 0.0000 1.3218
```

Summary:
Calculated volume   70.8 Å³/cell
Energy above the most stable polymorph in this dataset   395 meV per atom
Total DFT energy (no corrections)   -13.93 eV/cell
M_tot   0.0 μB/f.u.

---

No. 3
The following is a PBE calculation of crystalline MgW2 at its relaxed geometry, from the Alexandria database.

Cell and atoms, written as extended XYZ:
```
3
Lattice="-1.6620 1.6620 4.7400 1.6620 -1.6620 4.7400 1.6620 1.6620 -4.7400" Properties=species:S:1:pos:R:3 pbc="T T T"
Mg 0.0000 0.0000 0.0000
W 0.0000 0.0000 2.9600
W 0.0000 0.0000 6.5200
```

Summary:
Calculated volume   52.4 Å³/cell
Energy above the most stable polymorph in this dataset   139 meV per atom
Total DFT energy (no corrections)   -26.25 eV/cell
M_tot   0.0 μB/f.u.

---

> Among the records above, which one has the highest total DFT energy (no corrections)?

Mg2W